EuZn2Bi: relaxed, PBE.

Output
- Density of states at the Fermi level: 1.9 states/eV/cell
- Distance to the lowest polymorph of the same formula: 0.000 eV/atom
- Calculated volume: 97.3 Å³/f.u.
- Total magnetic moment: 6.944 μB per formula unit

Geometry as CIF:
```
data_EuZn2Bi
_cell_length_a 4.545
_cell_length_b 4.545
_cell_length_c 4.710
_cell_angle_alpha 90.00
_cell_angle_beta 90.00
_cell_angle_gamma 90.00
_symmetry_space_group_name_H-M 'P 4/m m m'
_symmetry_Int_Tables_number 123
_symmetry_space_group_name_Hall '-P 4 2'
loop_
_atom_site_label
_atom_site_type_symbol
_atom_site_fract_x
_atom_site_fract_y
_atom_site_fract_z
Eu1 Eu 0.000 0.000 0.000
Zn1 Zn 0.000 0.500 0.500
Bi1 Bi 0.500 0.500 0.000
```